# 1
Material: Nd2SmZn2Ga2
Method: DFT, PBE
State: optimized geometry

Energy relative to the elements, meV per atom: -404
M_tot, μB per formula unit: 0.00
ρ, Mg/m³: 7.029

Cell lengths 4.4968, 4.4968, 9.9116 Å; angles 76.89, 76.89, 60.00 degrees
With the nearest neighbours (Å) after each atom.
Element x y z (fractional)
Nd 0.1262 0.1262 0.6215  3 Ga 3.11, 3 Zn 3.17
Nd 0.8738 0.8738 0.3785  3 Ga 3.11, 3 Zn 3.17
Sm 0.0000 0.0000 0.0000  6 Zn 3.16, 6 Ga 3.23
Zn 0.6037 0.6037 0.1890  3 Ga 2.60
Zn 0.3963 0.3963 0.8110  3 Ga 2.60
Ga 0.7335 0.7335 0.7996  3 Zn 2.60
Ga 0.2665 0.2665 0.2004  3 Zn 2.60

***

# 2
Material: Be3CrP
Method: DFT, PBE
State: optimized geometry

Energy relative to the elements, meV per atom: 1084
M_tot, μB per formula unit: 0.00
ρ, Mg/m³: 2.925

Cell lengths 3.9673, 3.9673, 3.9673 Å; angles 90.00, 90.00, 90.00 degrees
With the nearest neighbours (Å) after each atom.
Element x y z (fractional)
Cr 0.5000 0.5000 0.5000  12 Be 2.81
Be 0.0000 0.5000 0.0000  2 P 1.98
Be 0.0000 0.0000 0.5000  2 P 1.98
Be 0.5000 0.0000 0.0000  2 P 1.98
P 0.0000 0.0000 0.0000  6 Be 1.98

***

# 3
Material: Ac2Tb5NdDy
Method: DFT, PBE
State: optimized geometry

Energy relative to the elements, meV per atom: 154
M_tot, μB per formula unit: 0.00
ρ, Mg/m³: 8.073

Cell lengths 5.8047, 10.4846, 10.9410 Å; angles 90.00, 90.00, 106.07 degrees
With the nearest neighbours (Å) after each atom.
Element x y z (fractional)
Ac 0.8839 0.7678 0.8199  9 Tb 3.39-3.76
Ac 0.1126 0.2253 0.7311  7 Tb 3.49-3.73, 1 Dy 3.59, 2 Nd 3.89
Ac 0.1161 0.2322 0.3199  9 Tb 3.39-3.76
Ac 0.8874 0.7747 0.2311  7 Tb 3.49-3.73, 1 Dy 3.59, 2 Nd 3.89
Tb 0.3906 0.7812 0.0209  6 Tb 3.52-3.92, 4 Ac 3.64-3.70, 1 Dy 3.72
Tb 0.7160 0.4320 0.8084  1 Nd 3.13, 1 Ac 3.39
Tb 0.4807 0.9615 0.7386  2 Nd 3.23-3.31, 2 Tb 3.52-3.58, 2 Ac 3.61
Tb 0.2974 0.5948 0.7064  4 Tb 3.52-3.92, 1 Nd 3.57, 3 Ac 3.61-3.73, 3 Dy 3.61-3.81
Tb 0.9802 0.9604 0.5258  2 Nd 3.26, 2 Ac 3.49-3.55
Tb 0.6094 0.2188 0.5209  6 Tb 3.52-3.92, 4 Ac 3.64-3.70, 1 Dy 3.72
Tb 0.2840 0.5680 0.3084  1 Nd 3.13, 1 Ac 3.39
Tb 0.5193 0.0385 0.2386  2 Nd 3.23-3.31, 2 Tb 3.52-3.58, 2 Ac 3.61
Tb 0.7026 0.4052 0.2064  4 Tb 3.52-3.92, 1 Nd 3.57, 3 Ac 3.61-3.73, 3 Dy 3.61-3.81
Tb 0.0198 0.0396 0.0258  2 Nd 3.26, 2 Ac 3.49-3.55
Nd 0.5852 0.1705 0.9621  5 Tb 3.13-3.31
Nd 0.4148 0.8295 0.4621  5 Tb 3.13-3.31
Dy 0.7940 0.5880 0.5108  2 Ac 3.59-3.84, 8 Tb 3.61-3.81, 2 Nd 3.82
Dy 0.2060 0.4120 0.0108  2 Ac 3.59-3.84, 8 Tb 3.61-3.81, 2 Nd 3.82

***

# 4
Material: Sc2IrPt
Method: DFT, PBE
State: optimized geometry

Energy relative to the elements, meV per atom: -823
M_tot, μB per formula unit: 0.00
ρ, Mg/m³: 10.555

Cell lengths 3.6561, 3.6561, 5.6164 Å; angles 90.00, 90.00, 90.00 degrees
With the nearest neighbours (Å) after each atom.
Element x y z (fractional)
Ir 0.0000 0.0000 0.4411  6 Sc 2.69-2.87
Pt 0.5000 0.5000 0.8006  6 Sc 2.72-2.84
Sc 0.0000 0.0000 0.9522  4 Pt 2.72, 2 Ir 2.75-2.87
Sc 0.5000 0.5000 0.3062  4 Ir 2.69, 2 Pt 2.78-2.84

***

# 5
Material: Y6BeSe4
Method: DFT, PBE
State: optimized geometry

ΔE_f (raw), eV per atom: -1.023
M_tot, μB per formula unit: 0.00
ρ, Mg/m³: 5.379

Cell lengths 8.0942, 8.0942, 8.0942 Å; angles 88.76, 88.76, 91.24 degrees
With the nearest neighbours (Å) after each atom.
Element x y z (fractional)
Y 0.6923 0.0537 0.0691  1 Be 2.59, 1 Se 2.89
Y 0.0691 0.3077 0.0537  1 Be 2.59, 1 Se 2.89
Y 0.5691 0.4463 0.1923  1 Be 2.59, 1 Se 2.89
Y 0.9463 0.0691 0.6923  1 Be 2.59, 1 Se 2.89
Y 0.5537 0.1923 0.5691  1 Be 2.59, 1 Se 2.89
Y 0.1923 0.4309 0.4463  1 Be 2.59, 1 Se 2.89
Y 0.8077 0.5691 0.5537  1 Be 2.59, 1 Se 2.89
Y 0.4463 0.8077 0.4309  1 Be 2.59, 1 Se 2.89
Y 0.0537 0.9309 0.3077  1 Be 2.59, 1 Se 2.89
Y 0.4309 0.5537 0.8077  1 Be 2.59, 1 Se 2.89
Y 0.9309 0.6923 0.9463  1 Be 2.59, 1 Se 2.89
Y 0.3077 0.9463 0.9309  1 Be 2.59, 1 Se 2.89
Be 0.5000 0.5000 0.5000  6 Y 2.59
Be 0.0000 0.0000 0.0000  6 Y 2.59
Se 0.3749 0.1251 0.2500  8 Y 3.00-3.33
Se 0.8749 0.2500 0.3749  8 Y 3.00-3.33
Se 0.2500 0.6251 0.1251  8 Y 3.00-3.33
Se 0.2500 0.2500 0.7500  6 Y 2.89
Se 0.7500 0.7500 0.2500  6 Y 2.89
Se 0.7500 0.3749 0.8749  8 Y 3.00-3.33
Se 0.1251 0.7500 0.6251  8 Y 3.00-3.33
Se 0.6251 0.8749 0.7500  8 Y 3.00-3.33

***

# 6
Material: Np2NbTlO8
Method: DFT, PBE
State: optimized geometry

ΔE_f (raw), eV per atom: -2.191
M_tot, μB per formula unit: 4.00
ρ, Mg/m³: 6.318

Cell lengths 6.0818, 6.0818, 7.3781 Å; angles 90.00, 90.00, 120.00 degrees
With the nearest neighbours (Å) after each atom.
Element x y z (fractional)
Np 0.3333 0.6667 0.7218  4 O 1.89-2.08
Np 0.6667 0.3333 0.2782  4 O 1.89-2.08
Nb 0.0000 0.0000 0.0000  6 O 2.01
Tl 0.0000 0.0000 0.5000  6 O 2.98
O 0.1540 0.3080 0.8381  1 Nb 2.01, 1 Np 2.08
O 0.1540 0.8460 0.8381  1 Nb 2.01, 1 Np 2.08
O 0.6920 0.8460 0.8381  1 Nb 2.01, 1 Np 2.08
O 0.3080 0.1540 0.1619  1 Nb 2.01, 1 Np 2.08
O 0.6667 0.3333 0.5343  1 Np 1.89
O 0.3333 0.6667 0.4657  1 Np 1.89
O 0.8460 0.6920 0.1619  1 Nb 2.01, 1 Np 2.08
O 0.8460 0.1540 0.1619  1 Nb 2.01, 1 Np 2.08

***

# 7
Material: PmScHgRu
Method: DFT, PBE
State: optimized geometry

Energy relative to the elements, meV per atom: -440
M_tot, μB per formula unit: 0.00
ρ, Mg/m³: 9.406

Cell lengths 3.4187, 3.4187, 7.4261 Å; angles 90.00, 90.00, 90.00 degrees
With the nearest neighbours (Å) after each atom.
Element x y z (fractional)
Pm 0.5000 0.5000 0.7894  4 Ru 3.03, 1 Sc 3.26, 4 Hg 3.35
Sc 0.5000 0.5000 0.3499  4 Ru 2.81, 4 Hg 3.04
Hg 0.0000 0.0000 0.1022  4 Sc 3.04, 1 Ru 3.27, 4 Pm 3.35
Ru 0.0000 0.0000 0.5431  4 Sc 2.81, 4 Pm 3.03

***

# 8
Material: HgBMo2
Method: DFT, PBE
State: optimized geometry

Energy relative to the elements, meV per atom: 1020
M_tot, μB per formula unit: 0.00
ρ, Mg/m³: 11.303

Cell lengths 4.3758, 4.3758, 4.3758 Å; angles 60.00, 60.00, 60.00 degrees
With the nearest neighbours (Å) after each atom.
Element x y z (fractional)
Mo 0.2500 0.2500 0.2500  4 Hg 2.68, 4 B 2.68
Mo 0.7500 0.7500 0.7500  4 Hg 2.68, 4 B 2.68
B 0.0000 0.0000 0.0000  8 Mo 2.68
Hg 0.5000 0.5000 0.5000  8 Mo 2.68

***

# 9
Material: Ce5TmIn6
Method: DFT, PBE
State: optimized geometry

Energy relative to the elements, meV per atom: -375
M_tot, μB per formula unit: 5.67
ρ, Mg/m³: 7.939

Cell lengths 5.6993, 7.0779, 8.8219 Å; angles 66.35, 89.40, 90.00 degrees
With the nearest neighbours (Å) after each atom.
Element x y z (fractional)
Tm 0.0000 0.0000 0.0000  8 In 3.27-3.28, 4 Ce 3.48-3.54
Ce 0.6595 0.1773 0.6454  3 Ce 3.18-3.55, 8 In 3.31-3.41, 1 Tm 3.48
Ce 0.3379 0.3370 0.3259  4 Ce 3.18-3.55, 8 In 3.38-3.41
Ce 0.0000 0.5000 0.0000  2 Ce 3.28, 8 In 3.35-3.43, 2 Tm 3.54
Ce 0.6621 0.6630 0.6741  4 Ce 3.18-3.55, 8 In 3.38-3.41
Ce 0.3405 0.8227 0.3546  3 Ce 3.18-3.55, 8 In 3.31-3.41, 1 Tm 3.48
In 0.8385 0.5974 0.3280  1 Tm 3.27, 3 In 3.30-3.38, 7 Ce 3.31-3.41
In 0.8385 0.0747 0.3280  1 Tm 3.27, 3 In 3.30-3.38, 7 Ce 3.31-3.41
In 0.5000 0.7706 0.0000  3 In 3.25-3.30, 2 Tm 3.28, 6 Ce 3.38-3.43
In 0.5000 0.2294 0.0000  3 In 3.25-3.30, 2 Tm 3.28, 6 Ce 3.38-3.43
In 0.1615 0.9253 0.6720  1 Tm 3.27, 3 In 3.30-3.38, 7 Ce 3.31-3.41
In 0.1615 0.4026 0.6720  1 Tm 3.27, 3 In 3.30-3.38, 7 Ce 3.31-3.41

***

# 10
Material: KThC
Method: DFT, PBE
State: optimized geometry

Energy relative to the elements, meV per atom: 40
M_tot, μB per formula unit: 0.00
ρ, Mg/m³: 4.222

Cell lengths 4.1882, 4.1882, 15.4634 Å; angles 73.84, 73.84, 60.15 degrees
With the nearest neighbours (Å) after each atom.
Element x y z (fractional)
K 0.6337 0.6337 0.0172  9 K 4.19-4.68, 3 Th 4.61-4.65
K 0.1198 0.1198 0.2895  9 K 4.19-4.68, 3 Th 4.63-4.66
C 0.5917 0.5917 0.5834  4 Th 2.41-2.45
C 0.1613 0.1613 0.7243  4 Th 2.41-2.45
Th 0.2743 0.2743 0.5596  4 C 2.41-2.45
Th 0.4787 0.4787 0.7481  4 C 2.41-2.45

***

# 11
Material: LiAlC
Method: DFT, PBE
State: optimized geometry

Energy relative to the elements, meV per atom: 180
M_tot, μB per formula unit: 0.00
ρ, Mg/m³: 1.906

Cell lengths 4.2861, 4.7122, 4.9295 Å; angles 112.53, 90.00, 117.06 degrees
With the nearest neighbours (Å) after each atom.
Element x y z (fractional)
C 0.6181 0.5713 0.8831  1 C 1.34
C 0.9307 0.5713 0.8831  1 C 1.34
Al 0.4119 0.8461 0.2058  2 C 2.11
Al 0.1873 0.3972 0.5631  2 C 2.05
Li 0.0390 0.1000 0.9467  2 C 2.21
Li 0.7718 0.5661 0.3115  2 C 2.22

***

# 12
Material: MnSiIrPd
Method: DFT, PBE
State: optimized geometry

ΔE_f (raw), eV per atom: -0.345
M_tot, μB per formula unit: 4.02
ρ, Mg/m³: 11.349

Cell lengths 4.2903, 4.2903, 4.2903 Å; angles 60.00, 60.00, 60.00 degrees
With the nearest neighbours (Å) after each atom.
Element x y z (fractional)
Mn 0.2500 0.2500 0.2500  4 Ir 2.63, 4 Pd 2.63
Si 0.7500 0.7500 0.7500  4 Pd 2.63, 4 Ir 2.63
Ir 0.5000 0.5000 0.5000  4 Mn 2.63, 4 Si 2.63
Pd 0.0000 0.0000 0.0000  4 Mn 2.63, 4 Si 2.63

***

# 13
Material: CeGdTcHg
Method: DFT, PBE
State: optimized geometry

Energy relative to the elements, meV per atom: -83
M_tot, μB per formula unit: 7.01
ρ, Mg/m³: 10.495

Cell lengths 5.1089, 5.1089, 5.1089 Å; angles 60.00, 60.00, 60.00 degrees
With the nearest neighbours (Å) after each atom.
Element x y z (fractional)
Gd 0.0000 0.0000 0.0000  4 Hg 3.13, 4 Tc 3.13
Hg 0.7500 0.7500 0.7500  4 Gd 3.13, 4 Ce 3.13
Ce 0.5000 0.5000 0.5000  4 Hg 3.13, 4 Tc 3.13
Tc 0.2500 0.2500 0.2500  4 Gd 3.13, 4 Ce 3.13

***

# 14
Material: ScTi2Al3
Method: DFT, PBE
State: optimized geometry

Energy relative to the elements, meV per atom: -385
M_tot, μB per formula unit: 0.00
ρ, Mg/m³: 3.572

Cell lengths 4.0950, 7.6599, 7.6599 Å; angles 106.53, 105.50, 105.50 degrees
With the nearest neighbours (Å) after each atom.
Element x y z (fractional)
Sc 0.2500 0.4148 0.5852  8 Al 2.88-2.98, 2 Ti 2.91, 2 Sc 2.93
Sc 0.7500 0.5852 0.4148  8 Al 2.88-2.98, 2 Ti 2.91, 2 Sc 2.93
Ti 0.2500 0.0838 0.9162  8 Al 2.85-2.89, 4 Ti 2.86-2.90
Ti 0.2500 0.7534 0.2466  8 Al 2.80-2.96, 2 Ti 2.86, 2 Sc 2.91
Ti 0.7500 0.9162 0.0838  8 Al 2.85-2.89, 4 Ti 2.86-2.90
Ti 0.7500 0.2466 0.7534  8 Al 2.80-2.96, 2 Ti 2.86, 2 Sc 2.91
Al 0.5088 0.8443 0.6734  5 Ti 2.80-2.96, 4 Al 2.88-2.93, 3 Sc 2.95-2.98
Al 0.0088 0.6734 0.8443  5 Ti 2.80-2.96, 4 Al 2.88-2.93, 3 Sc 2.95-2.98
Al 0.5000 0.5000 0.0000  4 Al 2.88, 2 Sc 2.88, 6 Ti 2.89-2.90
Al 0.4912 0.1557 0.3266  5 Ti 2.80-2.96, 4 Al 2.88-2.93, 3 Sc 2.95-2.98
Al 0.0000 0.0000 0.5000  4 Al 2.88, 2 Sc 2.88, 6 Ti 2.89-2.90
Al 0.9912 0.3266 0.1557  5 Ti 2.80-2.96, 4 Al 2.88-2.93, 3 Sc 2.95-2.98

***

# 15
Material: Be4As2P
Method: DFT, PBE
State: optimized geometry

Energy relative to the elements, meV per atom: 132
M_tot, μB per formula unit: 0.00
ρ, Mg/m³: 2.469

Cell lengths 5.4472, 5.4472, 6.2453 Å; angles 115.86, 115.86, 90.00 degrees
With the nearest neighbours (Å) after each atom.
Element x y z (fractional)
Be 0.8436 0.8436 0.3082  1 P 2.10, 2 As 2.19
Be 0.4647 0.4647 0.3082  1 P 2.10, 2 As 2.19
Be 0.1564 0.5353 0.6918  1 P 2.10, 2 As 2.19
Be 0.5353 0.1564 0.6918  1 P 2.10, 2 As 2.19
As 0.2500 0.7500 0.5000  4 Be 2.19
As 0.7500 0.2500 0.5000  4 Be 2.19
P 0.5000 0.5000 0.0000  4 Be 2.10

***

# 16
Material: Pm2Pr3Sm
Method: DFT, PBE
State: optimized geometry

Energy relative to the elements, meV per atom: 13
M_tot, μB per formula unit: 0.00
ρ, Mg/m³: 6.784

Cell lengths 7.3375, 8.2143, 9.7309 Å; angles 89.83, 100.63, 48.08 degrees
With the nearest neighbours (Å) after each atom.
Element x y z (fractional)
Pm 0.3337 0.7499 0.5835  6 Pr 3.67-3.68, 3 Sm 3.68-3.69, 3 Pm 3.68-3.69
Pm 0.3331 0.2499 0.0831  6 Pr 3.67-3.68, 3 Pm 3.68-3.69, 3 Sm 3.68-3.69
Pm 0.6669 0.7501 0.9169  6 Pr 3.67-3.68, 3 Pm 3.68-3.69, 3 Sm 3.68-3.69
Pm 0.6663 0.2501 0.4165  6 Pr 3.67-3.68, 3 Sm 3.68-3.69, 3 Pm 3.68-3.69
Pr 0.5001 0.7500 0.2502  2 Sm 3.67, 4 Pm 3.67-3.68, 6 Pr 3.68-3.69
Pr 0.4999 0.2500 0.7498  2 Sm 3.67, 4 Pm 3.67-3.68, 6 Pr 3.68-3.69
Pr 0.8332 0.2498 0.0831  4 Pm 3.67-3.68, 2 Sm 3.67, 6 Pr 3.68-3.69
Pr 0.1661 0.2503 0.4166  4 Pm 3.67-3.68, 2 Sm 3.67-3.68, 6 Pr 3.68-3.70
Pr 0.8339 0.7497 0.5834  4 Pm 3.67-3.68, 2 Sm 3.67-3.68, 6 Pr 3.68-3.70
Pr 0.1668 0.7502 0.9169  4 Pm 3.67-3.68, 2 Sm 3.67, 6 Pr 3.68-3.69
Sm 0.0000 0.2499 0.7499  6 Pr 3.67-3.68, 6 Pm 3.68-3.69
Sm 0.0000 0.7501 0.2501  6 Pr 3.67-3.68, 6 Pm 3.68-3.69

***

# 17
Material: TbPrPt10
Method: DFT, PBE
State: optimized geometry

Energy relative to the elements, meV per atom: -707
M_tot, μB per formula unit: 0.00
ρ, Mg/m³: 16.643

Cell lengths 4.4482, 5.4128, 9.3266 Å; angles 90.00, 90.00, 90.00 degrees
With the nearest neighbours (Å) after each atom.
Element x y z (fractional)
Tb 0.0000 0.5000 0.5000  6 Pt 3.07-3.11
Pr 0.0000 0.0000 0.0000  18 Pt 3.14-3.51
Pt 0.0000 0.0000 0.3364  6 Pt 2.70-2.72
Pt 0.0000 0.5000 0.8291  6 Pt 2.71-2.74
Pt 0.0000 0.5000 0.1709  6 Pt 2.71-2.74
Pt 0.0000 0.0000 0.6636  6 Pt 2.70-2.72
Pt 0.5000 0.0000 0.5000  8 Pt 2.68-2.70
Pt 0.5000 0.5000 0.0000  8 Pt 2.71-2.74
Pt 0.5000 0.2509 0.2520  8 Pt 2.68-2.72
Pt 0.5000 0.7491 0.7480  8 Pt 2.68-2.72
Pt 0.5000 0.7491 0.2520  8 Pt 2.68-2.72
Pt 0.5000 0.2509 0.7480  8 Pt 2.68-2.72

***

# 18
Material: AlFeRuPb2
Method: DFT, PBE
State: optimized geometry

Energy relative to the elements, meV per atom: 1457
M_tot, μB per formula unit: 1.75
ρ, Mg/m³: 8.475

Cell lengths 5.2335, 4.2801, 5.2335 Å; angles 90.00, 90.00, 90.00 degrees
With the nearest neighbours (Å) after each atom.
Element x y z (fractional)
Pb 0.0000 0.0000 0.5000  2 Al 2.62
Pb 0.5000 0.0000 0.0000  2 Al 2.62
Ru 0.5000 0.5000 0.5000  8 Pb 3.38, 4 Fe 3.70
Fe 0.0000 0.5000 0.0000  2 Al 2.14
Al 0.0000 0.0000 0.0000  2 Fe 2.14

***

# 19
Material: AcIn4Pd
Method: DFT, PBE
State: optimized geometry

Energy relative to the elements, meV per atom: -504
M_tot, μB per formula unit: 0.00
ρ, Mg/m³: 8.570

Cell lengths 4.6617, 7.5823, 8.9982 Å; angles 90.00, 105.01, 90.00 degrees
With the nearest neighbours (Å) after each atom.
Element x y z (fractional)
Ac 0.1202 0.2500 0.2404  11 In 3.34-3.70, 2 Pd 3.52
Ac 0.8798 0.7500 0.7596  11 In 3.34-3.70, 2 Pd 3.52
In 0.5000 0.5000 0.0000  6 In 3.24-3.26
In 0.5000 0.0000 0.0000  6 In 3.24-3.26
In 0.6847 0.9464 0.3694  3 Pd 2.76-2.87, 1 In 2.98
In 0.3153 0.0536 0.6306  3 Pd 2.76-2.87, 1 In 2.98
In 0.3153 0.4464 0.6306  3 Pd 2.76-2.87, 1 In 2.98
In 0.6847 0.5536 0.3694  3 Pd 2.76-2.87, 1 In 2.98
In 0.0721 0.7500 0.1442  1 Pd 2.71
In 0.9279 0.2500 0.8558  1 Pd 2.71
Pd 0.2278 0.7500 0.4555  7 In 2.71-2.87
Pd 0.7722 0.2500 0.5445  7 In 2.71-2.87

***

# 20
Material: MgCoAg2
Method: DFT, PBE
State: optimized geometry

Energy relative to the elements, meV per atom: 152
M_tot, μB per formula unit: 1.40
ρ, Mg/m³: 7.629

Cell lengths 2.8778, 2.8778, 7.8578 Å; angles 90.00, 90.00, 89.98 degrees
With the nearest neighbours (Å) after each atom.
Element x y z (fractional)
Ag 0.0000 0.0000 0.9980  8 Ag 2.88-2.96, 4 Mg 2.94
Ag 0.5000 0.5000 0.2722  4 Co 2.72, 8 Ag 2.88-2.96
Co 0.0000 0.0000 0.5021  4 Mg 2.70, 4 Ag 2.72, 4 Co 2.88
Mg 0.5000 0.5000 0.7277  4 Co 2.70, 4 Mg 2.88, 4 Ag 2.94